Entry from the Alexandria database: an optimized crystal structure of CeCrNi4 (PBE-GGA).

abc: 4.9234 4.9234 4.9234
angles: 60.00 60.00 60.00
Site moments in Bohr magnetons follow the coordinates.
Fractional positions:
Ni  0.6261  0.6261  0.1216  0.30
Ni  0.6261  0.1216  0.6261  0.30
Ni  0.6261  0.6261  0.6261  0.30
Ni  0.1216  0.6261  0.6261  0.30
Ce  0.2500  0.2500  0.2500  0.17
Cr  0.0000  0.0000  0.0000  3.42

Values from the calculation:
For the final energy, the calculation gives -0.48706 Ry per atom. Its space-group type is F-43m.

***

Entry from the Alexandria database: an optimized crystal structure of Cu2SiPd6 (PBE-GGA).

abc: 4.1271 7.8923 7.8931
angles: 90.00 90.00 90.00
Fractional positions:
Cu  0.0000  0.2994  0.7991
Cu  0.5000  0.7994  0.7009
Cu  0.5000  0.2006  0.2991
Cu  0.0000  0.7006  0.2009
Si  0.5000  0.5000  0.0000
Si  0.0000  0.0000  0.5000
Pd  0.0000  0.0272  0.1830
Pd  0.0000  0.6830  0.5274
Pd  0.0000  0.6256  0.8746
Pd  0.5000  0.1256  0.6254
Pd  0.5000  0.1830  0.9726
Pd  0.5000  0.5272  0.3170
Pd  0.0000  0.9728  0.8170
Pd  0.0000  0.3170  0.4726
Pd  0.0000  0.3744  0.1254
Pd  0.5000  0.8744  0.3746
Pd  0.5000  0.8170  0.0274
Pd  0.5000  0.4728  0.6830

Values from the calculation:
The formation energy (no corrections) is -0.33 eV/atom. For the final energy, the calculation gives -0.38954 Ry per atom. Its space-group type is P4_2/mnm. As for the energy above the most stable polymorph in this dataset: 0.0 kJ/mol of atoms.

***

Entry from the Alexandria database: an optimized crystal structure of CeYTePb (PBE-GGA).

abc: 4.4883 4.4883 7.7472
angles: 73.16 73.16 60.00
Site moments in Bohr magnetons follow the coordinates.
Fractional positions:
Ce  0.9463  0.9463  0.1612  0.80
Y  0.4424  0.4424  0.6729  -0.01
Te  0.1917  0.1917  0.4248  -0.01
Pb  0.6960  0.6960  0.9119  -0.03

Values from the calculation:
The formation energy (no corrections) is -0.91 eV/atom. For the final energy, the calculation gives -0.42092 Ry per atom. Its space-group type is R3m.

***

Entry from the Alexandria database: an optimized crystal structure of Er2AgPt (PBE-GGA).

abc: 4.9779 4.9780 4.9780
angles: 59.99 59.99 59.99
Fractional positions:
Ag  0.2500  0.2500  0.2500
Pt  0.7500  0.7500  0.7500
Er  0.5000  0.5000  0.5000
Er  0.0000  0.0000  0.0000

Values from the calculation:
For the final energy, the calculation gives -0.39130 Ry per atom. Its space-group type is Fm-3m.

***

Entry from the Alexandria database: an optimized crystal structure of ThAl4Si2 (PBE-GGA).

abc: 4.0460 4.0862 7.9389
angles: 104.91 90.00 90.00
Fractional positions:
Si  0.5000  0.5764  0.1527
Si  0.5000  0.4236  0.8473
Al  0.5000  0.8152  0.6304
Al  0.0000  0.6860  0.3719
Al  0.5000  0.1848  0.3696
Al  0.0000  0.3140  0.6281
Th  0.0000  0.0000  0.0000

Values from the calculation:
The formation energy (no corrections) is -0.25 eV/atom. For the final energy, the calculation gives -0.36715 Ry per atom. Its space-group type is Cmmm.

***

Entry from the Alexandria database: an optimized crystal structure of Ga6PtRh3 (PBE-GGA).

abc: 6.3940 6.5547 7.8884
angles: 90.00 89.61 90.00
Fractional positions:
Ga  0.6401  0.1520  0.9344
Ga  0.6508  0.1514  0.5672
Ga  0.7302  0.4472  0.2450
Ga  0.2698  0.5528  0.7550
Ga  0.3492  0.8486  0.4328
Ga  0.3599  0.8480  0.0656
Ga  0.1401  0.3480  0.4344
Ga  0.1508  0.3486  0.0672
Ga  0.2302  0.0528  0.7450
Ga  0.7698  0.9472  0.2550
Ga  0.8492  0.6514  0.9328
Ga  0.8599  0.6520  0.5656
Pt  0.5000  0.5000  0.5000
Pt  0.0000  0.0000  0.0000
Rh  0.5459  0.8355  0.7472
Rh  0.5000  0.5000  0.0000
Rh  0.4541  0.1645  0.2528
Rh  0.0459  0.6645  0.2472
Rh  0.0000  0.0000  0.5000
Rh  0.9541  0.3355  0.7528

Values from the calculation:
For the final energy, the calculation gives -0.37381 Ry per atom. Its space-group type is P2_1/c.

***

Entry from the Alexandria database: an optimized crystal structure of CrMo2Rh (PBE-GGA).

abc: 4.7490 4.7490 4.8074
angles: 81.27 81.27 32.88
Fractional positions:
Cr  0.7608  0.7608  0.7497
Mo  0.0053  0.0053  0.9848
Mo  0.2408  0.2408  0.2641
Rh  0.4932  0.4932  0.5013

Values from the calculation:
For the final energy, the calculation gives -0.70117 Ry per atom. Its space-group type is Cm. As for the energy above the most stable polymorph in this dataset: 4.0 kJ/mol of atoms.

***

Entry from the Alexandria database: an optimized crystal structure of Tm2Zn15Cd2 (PBE-GGA).

abc: 6.8601 6.8601 6.8601
angles: 82.80 82.80 82.80
Fractional positions:
Tm  0.3430  0.3430  0.3430
Tm  0.6570  0.6570  0.6570
Zn  0.5000  0.0000  0.0000
Zn  0.0000  0.0000  0.5000
Zn  0.0000  0.5000  0.0000
Zn  0.0000  0.6957  0.3043
Zn  0.6957  0.3043  0.0000
Zn  0.3043  0.0000  0.6957
Zn  0.3043  0.6957  0.0000
Zn  0.6957  0.0000  0.3043
Zn  0.0000  0.3043  0.6957
Zn  0.1676  0.6448  0.6448
Zn  0.6448  0.6448  0.1676
Zn  0.6448  0.1676  0.6448
Zn  0.8324  0.3552  0.3552
Zn  0.3552  0.3552  0.8324
Zn  0.3552  0.8324  0.3552
Cd  0.1064  0.1064  0.1064
Cd  0.8936  0.8936  0.8936

Values from the calculation:
For the final energy, the calculation gives -0.12934 Ry per atom. Its space-group type is R-3m.

***

Entry from the Alexandria database: an optimized crystal structure of Mg2VGaC (PBE-GGA).

abc: 5.2891 3.8216 5.2891
angles: 90.00 90.00 90.00
Site moments in Bohr magnetons follow the coordinates.
Fractional positions:
Mg  0.0000  0.0000  0.5000  0.00
Mg  0.5000  0.0000  0.0000  0.03
C  0.0000  0.5000  0.0000  -0.09
Ga  0.5000  0.5000  0.5000  -0.02
V  0.0000  0.0000  0.0000  1.41

Values from the calculation:
For the final energy, the calculation gives -0.29046 Ry per atom. Its space-group type is P4/mmm.

***

Entry from the Alexandria database: an optimized crystal structure of GdHoTmHg (PBE-GGA).

abc: 5.3898 5.3898 5.3898
angles: 60.00 60.00 60.00
Site moments in Bohr magnetons follow the coordinates.
Fractional positions:
Gd  0.2500  0.2500  0.2500  7.20
Tm  0.5000  0.5000  0.5000  0.20
Hg  0.0000  0.0000  0.0000  -0.01
Ho  0.7500  0.7500  0.7500  0.15

Values from the calculation:
For the final energy, the calculation gives -0.43560 Ry per atom. Its space-group type is F-43m.

***

Entry from the Alexandria database: an optimized crystal structure of CoGeHRu2 (PBE-GGA).

abc: 4.0439 4.0439 3.3584
angles: 90.00 90.00 90.00
Site moments in Bohr magnetons follow the coordinates.
Fractional positions:
Ru  0.0000  0.5000  0.0000  0.05
Ru  0.5000  0.0000  0.0000  0.05
Ge  0.5000  0.5000  0.5000  0.00
Co  0.0000  0.0000  0.5000  0.25
H  0.0000  0.0000  0.0000  0.00

Values from the calculation:
For the final energy, the calculation gives -0.49235 Ry per atom. Its space-group type is P4/mmm.

***

Entry from the Alexandria database: an optimized crystal structure of Pm2TmF11 (PBE-GGA).

abc: 8.5937 8.7355 8.7355
angles: 72.78 60.54 60.54
Site moments in Bohr magnetons follow the coordinates.
Fractional positions:
Pm  0.6642  0.6907  0.3093  -0.01
Pm  0.3358  0.3093  0.6907  -0.01
Pm  0.8358  0.1907  0.8093  -0.01
Pm  0.1642  0.8093  0.1907  -0.01
Tm  0.7500  0.7500  0.7500  -0.02
Tm  0.2500  0.2500  0.2500  -0.02
F  0.6680  0.7088  0.5629  0.13
F  0.3320  0.2912  0.4371  0.13
F  0.0603  0.5629  0.7088  0.13
F  0.8320  0.9371  0.7912  0.13
F  0.9397  0.4371  0.2912  0.13
F  0.1680  0.0629  0.2088  0.13
F  0.4397  0.7912  0.9371  0.13
F  0.5603  0.2088  0.0629  0.13
F  0.5000  0.5000  0.5000  0.44
F  0.0000  0.0000  0.0000  0.44
F  0.8933  0.8117  0.1883  0.24
F  0.1067  0.1883  0.8117  0.24
F  0.6067  0.3117  0.6883  0.24
F  0.3933  0.6883  0.3117  0.24
F  0.4508  0.9802  0.3143  0.13
F  0.5492  0.0198  0.6857  0.13
F  0.2547  0.3143  0.9802  0.13
F  0.0492  0.1857  0.5198  0.13
F  0.7453  0.6857  0.0198  0.13
F  0.9508  0.8143  0.4802  0.13
F  0.2453  0.5198  0.1857  0.13
F  0.7547  0.4802  0.8143  0.13

Values from the calculation:
The formation energy (no corrections) is -3.43 eV/atom. For the final energy, the calculation gives -0.43365 Ry per atom. Its space-group type is Ibam.